First-principles (GGA-PBE) data for crystalline AlInSn2H at its relaxed geometry, as listed in Alexandria via LeMat-Bulk.

Output
* N(E_F): 2.0 states/eV/cell
* density: 5.8 g/cm3
* E_tot: -0.1262 Ha/atom

abc: 5.6774 5.6774 3.3576
angles: 90.00 90.00 90.00
Last column: nearest neighbours and their distance in Å.
Atoms (fractional coordinates):
Al 0.0000 0.0000 0.0000  2 H 1.68
In 0.5000 0.5000 0.5000  8 Sn 3.30, 2 In 3.36
Sn 0.0000 0.5000 0.0000  2 Al 2.84
Sn 0.5000 0.0000 0.0000  2 Al 2.84
H 0.0000 0.0000 0.5000  2 Al 1.68

First-principles (GGA-PBE) data for crystalline Al2InTcH at its relaxed geometry, as listed in Alexandria via LeMat-Bulk.

Output
* N(E_F): 2.7 states/eV/cell
* density: 5.0 g/cm3
* E_tot: -0.1395 Ha/atom

abc: 5.2146 5.2146 3.2456
angles: 90.00 90.00 90.00
Last column: nearest neighbours and their distance in Å.
Atoms (fractional coordinates):
Al 0.0000 0.5000 0.0000  2 In 2.61
Al 0.5000 0.0000 0.0000  2 In 2.61
In 0.0000 0.0000 0.0000  2 H 1.62
Tc 0.5000 0.5000 0.5000  8 Al 3.07, 2 Tc 3.25
H 0.0000 0.0000 0.5000  2 In 1.62

First-principles (GGA-PBE) data for crystalline AlInTe2H at its relaxed geometry, as listed in Alexandria via LeMat-Bulk.

Output
* N(E_F): 1.9 states/eV/cell
* density: 5.8 g/cm3
* E_tot: -0.1212 Ha/atom

abc: 5.7086 5.7086 3.5220
angles: 90.00 90.00 90.00
Last column: nearest neighbours and their distance in Å.
Atoms (fractional coordinates):
Al 0.0000 0.0000 0.0000  2 H 1.76
In 0.5000 0.5000 0.5000  8 Te 3.35, 2 In 3.52
Te 0.0000 0.5000 0.0000  2 Al 2.85
Te 0.5000 0.0000 0.0000  2 Al 2.85
H 0.0000 0.0000 0.5000  2 Al 1.76

First-principles (GGA-PBE) data for crystalline Ti2AlInH at its relaxed geometry, as listed in Alexandria via LeMat-Bulk.

Output
* N(E_F): 2.1 states/eV/cell
* density: 5.5 g/cm3
* E_tot: -0.1963 Ha/atom

abc: 4.0675 4.0675 4.3349
angles: 90.00 90.00 90.00
Last column: nearest neighbours and their distance in Å.
Atoms (fractional coordinates):
Ti 0.0000 0.5000 0.0000  2 H 2.03
Ti 0.5000 0.0000 0.0000  2 H 2.03
Al 0.0000 0.0000 0.5000  2 H 2.17
In 0.5000 0.5000 0.5000  4 Al 2.88, 8 Ti 2.97
H 0.0000 0.0000 0.0000  4 Ti 2.03, 2 Al 2.17

First-principles (GGA-PBE) data for crystalline AlTlIn2H at its relaxed geometry, as listed in Alexandria via LeMat-Bulk.

Output
* N(E_F): 1.8 states/eV/cell
* density: 6.9 g/cm3
* E_tot: -0.1031 Ha/atom

abc: 5.6818 5.6818 3.4576
angles: 90.00 90.00 90.00
Last column: nearest neighbours and their distance in Å.
Atoms (fractional coordinates):
Al 0.0000 0.0000 0.0000  2 H 1.73
Tl 0.5000 0.5000 0.5000  8 In 3.33, 2 Tl 3.46
In 0.0000 0.5000 0.0000  2 Al 2.84
In 0.5000 0.0000 0.0000  2 Al 2.84
H 0.0000 0.0000 0.5000  2 Al 1.73

First-principles (GGA-PBE) data for crystalline Y2AlInH at its relaxed geometry, as listed in Alexandria via LeMat-Bulk.

Output
* N(E_F): 3.4 states/eV/cell
* density: 5.3 g/cm3
* E_tot: -0.1796 Ha/atom

abc: 4.8262 4.8262 4.3203
angles: 90.00 90.00 90.00
Last column: nearest neighbours and their distance in Å.
Atoms (fractional coordinates):
Y 0.0000 0.5000 0.0000  2 H 2.41
Y 0.5000 0.0000 0.0000  2 H 2.41
Al 0.0000 0.0000 0.5000  2 H 2.16
In 0.5000 0.5000 0.5000  8 Y 3.24, 4 Al 3.41
H 0.0000 0.0000 0.0000  2 Al 2.16, 4 Y 2.41